Record 1
This record from Alexandria describes a crystal of LiNb8O14 relaxed with PBEsol. The functional is meta-GGA SCAN.

a b c (Å): 5.937 9.186 10.334
angles (deg): 90.00 90.00 90.00
Fractional coordinates of all 46 atoms:
O 0.749 0.003 0.750
O 0.251 0.759 0.411
O 0.251 0.503 0.750
O 0.749 0.741 0.911
O 0.251 0.259 0.089
O 0.000 0.000 0.500
O 0.000 0.500 0.500
O 0.251 0.241 0.589
O 0.749 0.241 0.589
O 0.749 0.503 0.750
O 0.251 0.997 0.250
O 0.000 0.000 0.000
O 0.749 0.259 0.089
O 0.500 0.738 0.153
O 0.749 0.497 0.250
O 0.500 0.262 0.847
O 0.000 0.240 0.821
O 0.749 0.997 0.250
O 0.000 0.760 0.179
O 0.000 0.740 0.679
O 0.000 0.260 0.321
O 0.251 0.741 0.911
O 0.500 0.238 0.347
O 0.251 0.003 0.750
O 0.251 0.497 0.250
O 0.749 0.759 0.411
O 0.000 0.500 0.000
O 0.500 0.762 0.653
Nb 0.500 0.121 0.165
Nb 0.737 0.131 0.923
Nb 0.500 0.379 0.665
Nb 0.500 0.621 0.335
Nb 0.000 0.390 0.163
Nb 0.263 0.131 0.923
Nb 0.500 0.879 0.835
Nb 0.000 0.890 0.337
Nb 0.737 0.369 0.423
Nb 0.737 0.869 0.077
Nb 0.263 0.631 0.577
Nb 0.000 0.110 0.663
Nb 0.737 0.631 0.577
Nb 0.263 0.369 0.423
Nb 0.000 0.610 0.837
Nb 0.263 0.869 0.077
Li 0.500 0.000 0.500
Li 0.500 0.500 0.000

Results
Uncorrected formation energy (eV per atom): -2.495
Mass density (Mg/m³): 5.74
Fermi-level density of states (states/eV/f.u.): 6.74

Record 2
This record from Alexandria describes a crystal of CuAsPb relaxed with PBEsol. The functional is meta-GGA SCAN.

a b c (Å): 4.096 4.096 4.331
angles (deg): 90.00 90.00 120.00
Fractional coordinates of all 3 atoms:
Cu 0.333 0.667 0.000
As 0.000 0.000 0.000
Pb 0.667 0.333 0.500

Results
ΔE to the lowest computed polymorph (eV per atom): 0.0000
ΔH_f (0 K) (eV/atom): 0.01
Mass density (Mg/m³): 9.12
Fermi-level density of states (states/eV/f.u.): 0.70

Record 3
This record from Alexandria describes a crystal of Ta2TcBr relaxed with PBEsol. The functional is meta-GGA SCAN.

a b c (Å): 3.128 4.452 4.761
angles (deg): 90.00 90.00 90.00
Fractional coordinates of all 4 atoms:
Br 0.000 0.500 0.500
Ta 0.500 0.000 0.500
Ta 0.000 0.000 0.000
Tc 0.500 0.500 0.000

Results
ΔE to the lowest computed polymorph (eV per atom): 0.4078
Uncorrected formation energy (eV per atom): 0.652
Mass density (Mg/m³): 13.52
Fermi-level density of states (states/eV/f.u.): 2.48

Record 4
This record from Alexandria describes a crystal of ReOsPb relaxed with PBEsol. The functional is meta-GGA SCAN.

a b c (Å): 4.342 4.342 4.342
angles (deg): 60.00 60.00 60.00
Fractional coordinates of all 3 atoms:
Pb 0.000 0.000 0.000
Re 0.500 0.500 0.500
Os 0.750 0.750 0.750

Results
ΔE to the lowest computed polymorph (eV per atom): 0.0000
ΔH_f (0 K) (eV/atom): 0.84
Mass density (Mg/m³): 16.74
Fermi-level density of states (states/eV/f.u.): 2.12

Record 5
This record from Alexandria describes a crystal of ScPb3 relaxed with PBEsol. The functional is meta-GGA SCAN.

a b c (Å): 4.496 4.496 6.109
angles (deg): 111.59 111.59 90.00
Fractional coordinates of all 4 atoms:
Pb 0.250 0.750 0.500
Pb 0.500 0.500 0.000
Pb 0.750 0.250 0.500
Sc 0.000 0.000 0.000

Results
ΔH_f (0 K) (eV/atom): -0.22
Mass density (Mg/m³): 10.50
Fermi-level density of states (states/eV/f.u.): 2.79

Record 6
This record from Alexandria describes a crystal of BeZn8 relaxed with PBEsol. The functional is meta-GGA SCAN.

a b c (Å): 3.785 5.959 5.959
angles (deg): 84.21 71.48 71.48
Fractional coordinates of all 9 atoms:
Be 0.000 0.000 0.000
Zn 0.338 0.000 0.323
Zn 0.000 0.672 0.328
Zn 0.338 0.323 0.000
Zn 0.672 0.328 0.328
Zn 0.328 0.672 0.672
Zn 0.000 0.328 0.672
Zn 0.662 0.000 0.677
Zn 0.662 0.677 0.000

Results
ΔH_f (0 K) (eV/atom): 0.08
Mass density (Mg/m³): 7.31
Fermi-level density of states (states/eV/f.u.): 2.17

Record 7
This record from Alexandria describes a crystal of MgZn2Au2 relaxed with PBEsol. The functional is meta-GGA SCAN.

a b c (Å): 3.131 7.295 7.295
angles (deg): 90.00 90.00 90.00
Fractional coordinates of all 10 atoms:
Zn 0.500 0.653 0.847
Zn 0.500 0.153 0.653
Zn 0.500 0.347 0.153
Zn 0.500 0.847 0.347
Mg 0.000 0.000 0.000
Mg 0.000 0.500 0.500
Au 0.000 0.354 0.854
Au 0.000 0.146 0.354
Au 0.000 0.854 0.646
Au 0.000 0.646 0.146

Results
ΔE to the lowest computed polymorph (eV per atom): 0.0609
ΔH_f (0 K) (eV/atom): -0.36
Mass density (Mg/m³): 10.94
Fermi-level density of states (states/eV/f.u.): 1.12

Record 8
This record from Alexandria describes a crystal of BeCuAs2 relaxed with PBEsol. The functional is meta-GGA SCAN.

a b c (Å): 3.000 3.000 6.917
angles (deg): 90.00 90.00 97.51
Fractional coordinates of all 4 atoms:
As 0.000 0.000 0.087
As 0.500 0.500 0.656
Be 0.000 0.000 0.459
Cu 0.500 0.500 0.298

Results
ΔH_f (0 K) (eV/atom): 0.13
Mass density (Mg/m³): 5.98
Fermi-level density of states (states/eV/f.u.): 1.13

Number 1: total energy -17.915 eV/atom. Number 2: total energy -37.043 eV/atom. Number 3: total energy -46.270 eV/atom. Number 4: total energy -72.080 eV/atom. Number 5: total energy -60.612 eV/atom. Number 6: total energy -12.422 eV/atom. Number 7: total energy -34.427 eV/atom. Number 8: total energy -14.857 eV/atom.